Record 1
MoPdS3 | PBE | optimized geometry

extended XYZ file:
```
5
Lattice="4.6433 0.0000 0.0000 0.0000 4.6433 0.0000 0.0000 0.0000 4.6433" Properties=species:S:1:pos:R:3 pbc="T T T"
S 0.0000 0.0000 2.3216
Pd 0.0000 0.0000 0.0000
S 2.3216 0.0000 0.0000
Mo 2.3216 2.3216 2.3216
S 0.0000 2.3216 0.0000
```

offset from the most stable computed form	527	meV/atom

Record 2
MoPdS3 | PBE | optimized geometry

extended XYZ file:
```
5
Lattice="4.6622 0.0000 0.0000 0.0000 4.6622 0.0000 0.0000 0.0000 4.6622" Properties=species:S:1:pos:R:3 pbc="T T T"
S 2.3311 0.0000 0.0000
S 0.0000 0.0000 2.3311
Pd 2.3311 2.3311 2.3311
S 0.0000 2.3311 0.0000
Mo 0.0000 0.0000 0.0000
```

offset from the most stable computed form	0	meV/atom

Record 3
MoPd3S | PBE | optimized geometry

extended XYZ file:
```
5
Lattice="-1.0397 3.7159 2.8394 -3.6712 1.1534 -2.8536 -2.8970 -2.7951 2.5972" Properties=species:S:1:pos:R:3 pbc="T T T"
S -3.8039 1.0371 1.2915
Pd -0.5198 1.8580 1.4197
Pd -1.4485 -1.3976 1.2986
Pd -1.8356 0.5767 -1.4268
Mo 0.0000 0.0000 0.0000
```

offset from the most stable computed form	887	meV/atom

Record 4
SnMoPdS2 | PBE | optimized geometry

extended XYZ file:
```
5
Lattice="4.9336 0.0000 0.0000 0.0000 5.3698 0.0000 0.0000 0.0000 4.9336" Properties=species:S:1:pos:R:3 pbc="T T T"
S 2.4668 0.0000 0.0000
S 0.0000 0.0000 2.4668
Pd 2.4668 2.6849 2.4668
Mo 0.0000 2.6849 0.0000
Sn 0.0000 0.0000 0.0000
```

Result set for raw formation energy: 4.25, 1.62, 6.65, 6.84 eV per formula unit, one per record in the order listed.
Result set for N(E_F): 3.231, 7.094, 6.094, 3.003 states/eV/f.u., one per record in the order listed.
Result set for electronic total energy: -4.830, -5.357, -4.777, -4.288 eV/atom, one per record in the order listed.